DFT (PBE) results for a geometry-optimized AcNd5Er2 structure.

DFT formation energy   0.0227 eV per atom
Crystal system   orthorhombic
Space-group type   Pbam

a b c (Å): 7.3512 14.7055 5.1786
angles (deg): 90.00 90.00 90.00
Atoms (fractional coordinates):
Ac  0.0000  0.0000  0.0000
Ac  0.5000  0.5000  0.0000
Nd  0.0000  0.5000  0.0000
Nd  0.0023  0.2522  0.0000
Nd  0.2457  0.6272  0.5000
Nd  0.2543  0.1272  0.5000
Nd  0.4977  0.7522  0.0000
Nd  0.5000  0.0000  0.0000
Nd  0.5023  0.2478  0.0000
Nd  0.7457  0.8728  0.5000
Nd  0.7543  0.3728  0.5000
Nd  0.9977  0.7478  0.0000
Er  0.2492  0.3729  0.5000
Er  0.2508  0.8729  0.5000
Er  0.7492  0.1271  0.5000
Er  0.7508  0.6271  0.5000

***

DFT (PBE) results for a geometry-optimized K2CuS2 structure.

ΔE_f (raw)   -478 meV per atom
Crystal system   tetragonal
Space-group type   P4/mbm

a b c (Å): 6.8709 6.8709 4.9024
angles (deg): 90.00 90.00 90.00
Atoms (fractional coordinates):
K  0.1503  0.3497  0.0000
K  0.3497  0.8497  0.0000
K  0.6503  0.1503  0.0000
K  0.8497  0.6503  0.0000
Cu  0.0000  0.0000  0.5000
Cu  0.5000  0.5000  0.5000
S  0.1729  0.6729  0.5000
S  0.3271  0.1729  0.5000
S  0.6729  0.8271  0.5000
S  0.8271  0.3271  0.5000

***

DFT (PBE) results for a geometry-optimized Pm3Ag4AsO8 structure.

ΔE_f (raw)   -1746 meV per atom
Crystal system   monoclinic
Space-group type   C2/m

a b c (Å): 7.1724 7.1724 7.5389
angles (deg): 118.51 118.51 60.03
Atoms (fractional coordinates):
Pm  0.0000  0.0000  0.0000
Pm  0.0000  0.5000  0.0000
Pm  0.5000  0.0000  0.0000
Ag  0.0000  0.0000  0.5000
Ag  0.0000  0.5000  0.5000
Ag  0.5000  0.0000  0.5000
Ag  0.5000  0.5000  0.5000
As  0.5000  0.5000  0.0000
O  0.1100  0.1100  0.8304
O  0.1309  0.6000  0.8315
O  0.4000  0.4000  0.1686
O  0.4000  0.8691  0.1685
O  0.6000  0.1309  0.8315
O  0.6000  0.6000  0.8314
O  0.8691  0.4000  0.1685
O  0.8900  0.8900  0.1696

***

DFT (PBE) results for a geometry-optimized AuS2O structure.

ΔE_f (raw)   548 meV per atom
Crystal system   tetragonal
Space-group type   I-42d

a b c (Å): 6.9540 6.9540 6.9540
angles (deg): 139.64 139.64 58.40
Atoms (fractional coordinates):
Au  0.0000  0.0000  0.0000
Au  0.7500  0.2500  0.5000
S  0.2131  0.6250  0.0881
S  0.3750  0.4631  0.5881
S  0.5369  0.1250  0.9119
S  0.8750  0.7869  0.4119
O  0.2500  0.7500  0.5000
O  0.5000  0.5000  0.0000

***

DFT (PBE) results for a geometry-optimized TiMoSe2N structure.

ΔE_f (raw)   283 meV per atom
Crystal system   tetragonal
Space-group type   P4/mmm

a b c (Å): 5.0685 5.0685 3.6969
angles (deg): 90.00 90.00 90.00
Atoms (fractional coordinates):
Ti  0.0000  0.0000  0.0000
Mo  0.5000  0.5000  0.5000
Se  0.0000  0.5000  0.0000
Se  0.5000  0.0000  0.0000
N  0.0000  0.0000  0.5000

***

DFT (PBE) results for a geometry-optimized BaTb4Cd5 structure.

DFT formation energy   -0.3052 eV per atom
Crystal system   tetragonal
Space-group type   P4/mmm

a b c (Å): 3.8209 3.8209 19.4889
angles (deg): 90.00 90.00 90.00
Atoms (fractional coordinates):
Ba  0.0000  0.0000  0.0000
Tb  0.0000  0.0000  0.2170
Tb  0.0000  0.0000  0.4061
Tb  0.0000  0.0000  0.5939
Tb  0.0000  0.0000  0.7830
Cd  0.5000  0.5000  0.1271
Cd  0.5000  0.5000  0.3112
Cd  0.5000  0.5000  0.5000
Cd  0.5000  0.5000  0.6888
Cd  0.5000  0.5000  0.8729

***

DFT (PBE) results for a geometry-optimized Rb4Tl4Cd structure.

DFT formation energy   0.0743 eV per atom
Crystal system   tetragonal
Space-group type   I-42m

a b c (Å): 9.5230 9.5230 9.5230
angles (deg): 134.56 134.56 66.21
Atoms (fractional coordinates):
Rb  0.1967  0.1967  0.6181
Rb  0.4213  0.8033  0.0000
Rb  0.5787  0.5787  0.3819
Rb  0.8033  0.4213  0.0000
Tl  0.0108  0.6708  0.0000
Tl  0.3292  0.3292  0.3400
Tl  0.6708  0.0108  0.0000
Tl  0.9892  0.9892  0.6600
Cd  0.0000  0.0000  0.0000

***

DFT (PBE) results for a geometry-optimized LiMg3Nb structure.

DFT formation energy   0.9611 eV per atom
Crystal system   cubic
Space-group type   Pm-3m

a b c (Å): 5.4834 5.4834 5.4834
angles (deg): 90.00 90.00 90.00
Atoms (fractional coordinates):
Li  0.0000  0.0000  0.0000
Mg  0.0000  0.5000  0.5000
Mg  0.5000  0.0000  0.5000
Mg  0.5000  0.5000  0.0000
Nb  0.5000  0.5000  0.5000

***

What did the fifth record say?
DFT (PBE) results for a geometry-optimized TiMoSe2N structure.

ΔE_f (raw)   283 meV per atom
Crystal system   tetragonal
Space-group type   P4/mmm

a b c (Å): 5.0685 5.0685 3.6969
angles (deg): 90.00 90.00 90.00
Atoms (fractional coordinates):
Ti  0.0000  0.0000  0.0000
Mo  0.5000  0.5000  0.5000
Se  0.0000  0.5000  0.0000
Se  0.5000  0.0000  0.0000
N  0.0000  0.0000  0.5000